Entry from the Alexandria database: an optimized crystal structure of TbSmAlCu (PBE).

Cell and atoms, written as CIF:
```
data_TbSmAlCu
_chemical_formula_sum 'Tb4 Sm4 Al4 Cu4'
_symmetry_space_group_name_H-M 'F -4 3 m'
_symmetry_Int_Tables_number 216
_symmetry_space_group_name_Hall 'F -4 2 3'
_cell_length_a 7.2260
_cell_length_b 7.2260
_cell_length_c 7.2260
_cell_angle_alpha 90.00
_cell_angle_beta 90.00
_cell_angle_gamma 90.00
loop_
_atom_site_label
_atom_site_fract_x
_atom_site_fract_y
_atom_site_fract_z
Tb1 0.0000 0.0000 0.0000
Sm1 0.0000 0.0000 0.5000
Al1 0.2500 0.2500 0.7500
Cu1 0.2500 0.2500 0.2500
```

calculated formation energy	-0.25	eV/atom
M_tot	0.00	Bohr magnetons per cell
raw total energy	-72.8	eV/cell

---

Entry from the Alexandria database: an optimized crystal structure of SrCoOs2 (PBE).

Cell and atoms, written as CIF:
```
data_SrCoOs2
_chemical_formula_sum 'Sr1 Co1 Os2'
_symmetry_space_group_name_H-M 'P 1 2/m 1'
_symmetry_Int_Tables_number 10
_cell_length_a 2.8015
_cell_length_b 4.2803
_cell_length_c 6.2804
_cell_angle_alpha 90.00
_cell_angle_beta 102.65
_cell_angle_gamma 90.00
loop_
_symmetry_equiv_pos_as_xyz
'x,y,z'
'-x,-y,-z'
'-x,y,-z'
'x,-y,z'
loop_
_atom_site_label
_atom_site_fract_x
_atom_site_fract_y
_atom_site_fract_z
Sr1 0.0000 0.0000 0.0000
Co1 0.5000 0.0000 0.5000
Os1 0.3155 0.5000 0.6765
```

energy above the lowest structure with this stoichiometry	0.590	eV per atom
calculated formation energy	0.86	eV/atom
M_tot	2.79	Bohr magnetons per cell
raw total energy	-27.8	eV/cell

---

Entry from the Alexandria database: an optimized crystal structure of YZr2Mo (PBE).

Cell and atoms, written as CIF:
```
data_YZr2Mo
_chemical_formula_sum 'Y2 Zr4 Mo2'
_symmetry_space_group_name_H-M 'I m m 2'
_symmetry_Int_Tables_number 44
_cell_length_a 3.5437
_cell_length_b 4.9522
_cell_length_c 10.3611
_cell_angle_alpha 90.00
_cell_angle_beta 90.00
_cell_angle_gamma 90.00
loop_
_symmetry_equiv_pos_as_xyz
'x,y,z'
'-x,-y,z'
'-x,y,z'
'x,-y,z'
'x+1/2,y+1/2,z+1/2'
'-x+1/2,-y+1/2,z+1/2'
'-x+1/2,y+1/2,z+1/2'
'x+1/2,-y+1/2,z+1/2'
loop_
_atom_site_label
_atom_site_fract_x
_atom_site_fract_y
_atom_site_fract_z
Y1 0.0000 0.0000 0.0000
Zr1 0.0000 0.0000 0.5686
Zr2 0.0000 0.5000 0.7779
Mo1 0.0000 0.5000 0.2627
```

energy above the lowest structure with this stoichiometry	0.072	eV per atom
calculated formation energy	0.14	eV/atom
M_tot	0.00	Bohr magnetons per cell
raw total energy	-67.7	eV/cell

---

Entry from the Alexandria database: an optimized crystal structure of La2Er7Sc2 (PBE).

Cell and atoms, written as CIF:
```
data_La2Er7Sc2
_chemical_formula_sum 'La4 Er14 Sc4'
_symmetry_space_group_name_H-M 'I m m 2'
_symmetry_Int_Tables_number 44
_cell_length_a 3.5229
_cell_length_b 17.2171
_cell_length_c 11.5196
_cell_angle_alpha 90.00
_cell_angle_beta 90.00
_cell_angle_gamma 90.00
loop_
_symmetry_equiv_pos_as_xyz
'x,y,z'
'-x,-y,z'
'-x,y,z'
'x,-y,z'
'x+1/2,y+1/2,z+1/2'
'-x+1/2,-y+1/2,z+1/2'
'-x+1/2,y+1/2,z+1/2'
'x+1/2,-y+1/2,z+1/2'
loop_
_atom_site_label
_atom_site_fract_x
_atom_site_fract_y
_atom_site_fract_z
La1 0.0000 0.2066 0.0000
Er1 0.0000 0.0000 0.9191
Er2 0.0000 0.1073 0.4915
Er3 0.0000 0.3326 0.2453
Er4 0.0000 0.3374 0.7532
Sc1 0.0000 0.0000 0.2234
Sc2 0.0000 0.5000 0.1725
```

energy above the lowest structure with this stoichiometry	0.016	eV per atom
calculated formation energy	0.19	eV/atom
M_tot	0.00	Bohr magnetons per cell
raw total energy	-104.8	eV/cell

---

Entry from the Alexandria database: an optimized crystal structure of KPO4 (PBE).

Cell and atoms, written as CIF:
```
data_KPO4
_chemical_formula_sum 'K4 P4 O16'
_symmetry_space_group_name_H-M 'I 41/a m d'
_symmetry_Int_Tables_number 141
_cell_length_a 7.7936
_cell_length_b 7.7936
_cell_length_c 7.1661
_cell_angle_alpha 90.00
_cell_angle_beta 90.00
_cell_angle_gamma 90.00
loop_
_symmetry_equiv_pos_as_xyz
'x,y,z'
'-x,-y,-z'
'-y+1/4,x+3/4,z+1/4'
'y+1/4,-x+3/4,-z+1/4'
'-x+1/2,-y,z+1/2'
'x+1/2,y,-z+1/2'
'y+1/4,-x+1/4,z+3/4'
'-y+1/4,x+1/4,-z+3/4'
'x,-y,-z'
'-x,y,z'
'-y+1/4,-x+1/4,-z+3/4'
'y+1/4,x+1/4,z+3/4'
'-x+1/2,y,-z+1/2'
'x+1/2,-y,z+1/2'
'y+1/4,x+3/4,-z+1/4'
'-y+1/4,-x+3/4,z+1/4'
'x+1/2,y+1/2,z+1/2'
'-x+1/2,-y+1/2,-z+1/2'
'-y+3/4,x+1/4,z+3/4'
'y+3/4,-x+1/4,-z+3/4'
'-x,-y+1/2,z'
'x,y+1/2,-z'
'y+3/4,-x+3/4,z+1/4'
'-y+3/4,x+3/4,-z+1/4'
'x+1/2,-y+1/2,-z+1/2'
'-x+1/2,y+1/2,z+1/2'
'-y+3/4,-x+3/4,-z+1/4'
'y+3/4,x+3/4,z+1/4'
'-x,y+1/2,-z'
'x,-y+1/2,z'
'y+3/4,x+1/4,-z+3/4'
'-y+3/4,-x+1/4,z+3/4'
loop_
_atom_site_label
_atom_site_fract_x
_atom_site_fract_y
_atom_site_fract_z
K1 0.0000 0.2500 0.3750
P1 0.0000 0.2500 0.8750
O1 0.0000 0.0883 0.7510
```

M_tot	8.00	Bohr magnetons per cell
raw total energy	-143.3	eV/cell

---

Entry from the Alexandria database: an optimized crystal structure of GdHoTcPd (PBE).

Cell and atoms, written as CIF:
```
data_GdHoTcPd
_chemical_formula_sum 'Gd4 Ho4 Tc4 Pd4'
_symmetry_space_group_name_H-M 'F -4 3 m'
_symmetry_Int_Tables_number 216
_symmetry_space_group_name_Hall 'F -4 2 3'
_cell_length_a 6.9194
_cell_length_b 6.9194
_cell_length_c 6.9194
_cell_angle_alpha 90.00
_cell_angle_beta 90.00
_cell_angle_gamma 90.00
loop_
_atom_site_label
_atom_site_fract_x
_atom_site_fract_y
_atom_site_fract_z
Gd1 0.0000 0.0000 0.0000
Ho1 0.0000 0.0000 0.5000
Tc1 0.2500 0.2500 0.2500
Pd1 0.2500 0.2500 0.7500
```

calculated formation energy	-0.35	eV/atom
M_tot	28.23	Bohr magnetons per cell
raw total energy	-142.5	eV/cell

---

Entry from the Alexandria database: an optimized crystal structure of NaAg2HgCl5 (PBE).

Cell and atoms, written as CIF:
```
data_NaAg2HgCl5
_chemical_formula_sum 'Na4 Ag8 Hg4 Cl20'
_symmetry_space_group_name_H-M 'C m c 21'
_symmetry_Int_Tables_number 36
_cell_length_a 4.0979
_cell_length_b 15.0438
_cell_length_c 15.2522
_cell_angle_alpha 90.00
_cell_angle_beta 90.00
_cell_angle_gamma 90.00
loop_
_symmetry_equiv_pos_as_xyz
'x,y,z'
'-x,-y,z+1/2'
'-x,y,z'
'x,-y,z+1/2'
'x+1/2,y+1/2,z'
'-x+1/2,-y+1/2,z+1/2'
'-x+1/2,y+1/2,z'
'x+1/2,-y+1/2,z+1/2'
loop_
_atom_site_label
_atom_site_fract_x
_atom_site_fract_y
_atom_site_fract_z
Na1 0.0000 0.0686 0.0000
Ag1 0.0000 0.3387 0.8180
Ag2 0.0000 0.4419 0.2622
Hg1 0.0000 0.2308 0.5975
Cl1 0.0000 0.0240 0.3467
Cl2 0.0000 0.0729 0.6265
Cl3 0.0000 0.2554 0.9736
Cl4 0.0000 0.2657 0.2580
Cl5 0.0000 0.3931 0.6152
```

M_tot	0.00	Bohr magnetons per cell
raw total energy	-93.2	eV/cell

---

Entry from the Alexandria database: an optimized crystal structure of Hg5Se4S (PBE).

Cell and atoms, written as CIF:
```
data_Hg5Se4S
_chemical_formula_sum 'Hg15 Se12 S3'
_symmetry_space_group_name_H-M 'R 3 m'
_symmetry_Int_Tables_number 160
_symmetry_space_group_name_Hall 'R 3 -2"'
_cell_length_a 4.3889
_cell_length_b 4.3889
_cell_length_c 53.8224
_cell_angle_alpha 90.00
_cell_angle_beta 90.00
_cell_angle_gamma 120.00
loop_
_atom_site_label
_atom_site_fract_x
_atom_site_fract_y
_atom_site_fract_z
Hg1 0.0000 0.0000 0.0000
Hg2 0.0000 0.0000 0.1979
Hg3 0.0000 0.0000 0.3958
Hg4 0.0000 0.0000 0.5990
Hg5 0.0000 0.0000 0.7969
Se1 0.0000 0.0000 0.2482
Se2 0.0000 0.0000 0.4462
Se3 0.0000 0.0000 0.6492
Se4 0.0000 0.0000 0.8472
S1 0.0000 0.0000 0.0483
```

M_tot	0.00	Bohr magnetons per cell
raw total energy	-64.5	eV/cell

---

Entry from the Alexandria database: an optimized crystal structure of MnTl2Cu2I6 (PBE).

Cell and atoms, written as CIF:
```
data_MnTl2Cu2I6
_chemical_formula_sum 'Mn2 Tl4 Cu4 I12'
_symmetry_space_group_name_H-M 'C 1 2/m 1'
_symmetry_Int_Tables_number 12
_cell_length_a 14.2734
_cell_length_b 8.1358
_cell_length_c 8.4408
_cell_angle_alpha 90.00
_cell_angle_beta 122.76
_cell_angle_gamma 90.00
loop_
_symmetry_equiv_pos_as_xyz
'x,y,z'
'-x,-y,-z'
'-x,y,-z'
'x,-y,z'
'x+1/2,y+1/2,z'
'-x+1/2,-y+1/2,-z'
'-x+1/2,y+1/2,-z'
'x+1/2,-y+1/2,z'
loop_
_atom_site_label
_atom_site_fract_x
_atom_site_fract_y
_atom_site_fract_z
Mn1 0.0000 0.0000 0.0000
Tl1 0.2403 0.0000 0.7136
Cu1 0.0579 0.5000 0.7739
I1 0.0562 0.2410 0.2883
I2 0.2416 0.0000 0.1325
```

M_tot	9.98	Bohr magnetons per cell
raw total energy	-70.2	eV/cell

---

Entry from the Alexandria database: an optimized crystal structure of CaSe3F (PBE).

Cell and atoms, written as CIF:
```
data_CaSe3F
_chemical_formula_sum 'Ca1 Se3 F1'
_symmetry_space_group_name_H-M 'P m -3 m'
_symmetry_Int_Tables_number 221
_symmetry_space_group_name_Hall '-P 4 2 3'
_cell_length_a 4.7426
_cell_length_b 4.7426
_cell_length_c 4.7426
_cell_angle_alpha 90.00
_cell_angle_beta 90.00
_cell_angle_gamma 90.00
loop_
_atom_site_label
_atom_site_fract_x
_atom_site_fract_y
_atom_site_fract_z
Ca1 0.0000 0.0000 0.0000
Se1 0.0000 0.5000 0.5000
F1 0.5000 0.5000 0.5000
```

energy above the lowest structure with this stoichiometry	0.000	eV per atom
M_tot	0.00	Bohr magnetons per cell
raw total energy	-17.1	eV/cell

---

Entry from the Alexandria database: an optimized crystal structure of ReRuCl (PBE).

Cell and atoms, written as CIF:
```
data_ReRuCl
_chemical_formula_sum 'Re4 Ru4 Cl4'
_symmetry_space_group_name_H-M 'F -4 3 m'
_symmetry_Int_Tables_number 216
_symmetry_space_group_name_Hall 'F -4 2 3'
_cell_length_a 5.9266
_cell_length_b 5.9266
_cell_length_c 5.9266
_cell_angle_alpha 90.00
_cell_angle_beta 90.00
_cell_angle_gamma 90.00
loop_
_atom_site_label
_atom_site_fract_x
_atom_site_fract_y
_atom_site_fract_z
Re1 0.0000 0.0000 0.0000
Ru1 0.2500 0.2500 0.7500
Cl1 0.2500 0.2500 0.2500
```

energy above the lowest structure with this stoichiometry	0.664	eV per atom
M_tot	0.00	Bohr magnetons per cell
raw total energy	-82.1	eV/cell